1.
The following is a DFT calculation (PBE-GGA) of a relaxed structure of CrP2Ru2.

formation energy from the elements: -0.14 eV/atom
SG: P4/mbm

Cell lengths 6.790, 6.790, 2.783 Å; angles 90.00, 90.00, 90.00 degrees
Atoms (fractional coordinates):
Cr (0.000, 0.000, 0.000)
Cr (0.500, 0.500, 0.000)
P (0.157, 0.343, 0.000)
P (0.343, 0.843, 0.000)
P (0.657, 0.157, 0.000)
P (0.843, 0.657, 0.000)
Ru (0.148, 0.648, 0.500)
Ru (0.352, 0.148, 0.500)
Ru (0.648, 0.852, 0.500)
Ru (0.852, 0.352, 0.500)


2.
The following is a DFT calculation (PBE-GGA) of a relaxed structure of CrPRu2.

formation energy from the elements: -0.14 eV/atom
SG: Cm

Cell lengths 4.579, 4.579, 4.353 Å; angles 105.84, 105.84, 36.52 degrees
Atoms (fractional coordinates):
Cr (0.000, 0.000, 0.000)
P (0.740, 0.740, 0.346)
Ru (0.253, 0.253, 0.861)
Ru (0.471, 0.471, 0.475)


3.
The following is a DFT calculation (PBE-GGA) of a relaxed structure of CrPRu2.

formation energy from the elements: -0.18 eV/atom
SG: P4mm

Cell lengths 2.808, 2.808, 6.394 Å; angles 90.00, 90.00, 90.00 degrees
Atoms (fractional coordinates):
Cr (0.000, 0.000, 0.000)
P (0.500, 0.500, 0.212)
Ru (0.000, 0.000, 0.433)
Ru (0.500, 0.500, 0.737)


4.
The following is a DFT calculation (PBE-GGA) of a relaxed structure of CrP2Ru.

distance to the lowest polymorph of the same formula: 350.7 meV/atom
formation energy from the elements: -0.08 eV/atom
SG: Pmmm

Cell lengths 2.887, 3.538, 5.175 Å; angles 90.00, 90.00, 90.00 degrees
Atoms (fractional coordinates):
Cr (0.000, 0.000, 0.000)
P (0.500, 0.500, 0.214)
P (0.500, 0.500, 0.786)
Ru (0.500, 0.000, 0.500)


Question: Which of these has the lowest formation energy from the elements?
Answer: number 3


Question: The lowest formation energy from the elements belongs to which entry?
Answer: number 3


Question: Which of these has the lowest formation energy from the elements?
Answer: number 3


Question: Look up the formation energy from the elements of the fourth one.
Answer: -0.08 eV/atom